RbNa3Hg: optimized geometry, PBE-GGA.

Calculated values
**Energy above the most stable polymorph in this dataset**: 43.8 meV per atom
**Calculated total energy**: -1.11 eV/atom

a b c (Å): 6.0523 6.0523 6.0523
angles (deg): 90.00 90.00 90.00
Last column: nearest neighbours and their distance in Å.
Fractional positions:
Na 0.0000 0.5000 0.0000  2 Hg 3.03
Na 0.0000 0.0000 0.5000  2 Hg 3.03
Na 0.5000 0.0000 0.0000  2 Hg 3.03
Hg 0.0000 0.0000 0.0000  6 Na 3.03
Rb 0.5000 0.5000 0.5000  12 Na 4.28